1.
An optimized crystal structure of Sr2CaSe, computed with PBE.

a b c (Å): 3.8846 3.8846 10.3229
angles (deg): 90.00 90.00 99.72
Last column: nearest neighbours and their distance in Å.
Positions (direct):
1 Ca 0.0000 0.0000 0.5743  2 Se 3.02
2 Sr 0.0000 0.0000 0.9265  4 Se 3.17-3.55
3 Sr 0.5000 0.5000 0.2616  6 Sr 3.88-4.27, 2 Ca 4.09
4 Se 0.5000 0.5000 0.7376  2 Ca 3.02, 2 Sr 3.17

Properties
DFT total energy, eV/cell: -12.2
Uncorrected formation energy, eV per atom: -0.8304
Spin magnetization, μB/atom: 0.000

2.
An optimized crystal structure of Sr2CaSe, computed with PBE.

a b c (Å): 4.4268 5.7591 5.7591
angles (deg): 90.00 90.00 90.00
Last column: nearest neighbours and their distance in Å.
Positions (direct):
1 Sr 0.0000 0.0000 0.0000  4 Se 3.63, 4 Ca 3.63
2 Sr 0.0000 0.5000 0.5000  4 Se 3.63, 4 Ca 3.63
3 Se 0.5000 0.0000 0.5000  8 Sr 3.63
4 Ca 0.5000 0.5000 0.0000  8 Sr 3.63

Properties
DFT total energy, eV/cell: -10.8
Uncorrected formation energy, eV per atom: -0.4837
Spin magnetization, μB/atom: 0.000

> The lowest DFT total energy belongs to which entry?

number 1